A relaxed structure of ErSi3IrRh. Source: Alexandria, functional PBE.

a = 5.495 Å, b = 6.268 Å, c = 7.428 Å
α = 114.96°, β = 90.00°, γ = 90.00°
Atoms (fractional coordinates):
Si1 0.000 0.708 0.000
Si2 0.500 0.292 0.000
Si3 0.000 0.292 0.000
Si4 0.250 0.224 0.448
Si5 0.750 0.776 0.552
Si6 0.500 0.708 0.000
Ir1 0.750 0.609 0.219
Ir2 0.250 0.391 0.781
Rh1 0.250 0.056 0.112
Rh2 0.750 0.944 0.888
Er1 0.250 0.818 0.636
Er2 0.750 0.182 0.364

Calculated values
- Size of the total moment: 0.0 μB per cell
- Formation energy from raw total energies: -3.5 eV per formula unit

***

A relaxed structure of Er2Si4IrRh3. Source: Alexandria, functional PBE.

a = 4.101 Å, b = 4.101 Å, c = 9.815 Å
α = 90.00°, β = 90.00°, γ = 90.00°
Atoms (fractional coordinates):
Rh1 0.500 0.000 0.872
Rh2 0.000 0.500 0.128
Rh3 0.000 0.000 0.500
Si1 0.500 0.000 0.631
Si2 0.500 0.500 0.000
Si3 0.000 0.000 0.000
Si4 0.000 0.500 0.369
Er1 0.000 0.500 0.756
Er2 0.500 0.000 0.244
Ir1 0.500 0.500 0.500

Calculated values
- Size of the total moment: 0.0 μB per cell
- Formation energy from raw total energies: -10.5 eV per formula unit

***

A relaxed structure of SmErIrRh. Source: Alexandria, functional PBE.

a = 4.877 Å, b = 4.877 Å, c = 4.877 Å
α = 60.00°, β = 60.00°, γ = 60.00°
Atoms (fractional coordinates):
Er1 0.250 0.250 0.250
Sm1 0.750 0.750 0.750
Rh1 0.500 0.500 0.500
Ir1 0.000 0.000 0.000

Calculated values
- Calculated formation energy: -0.81 eV/atom
- Size of the total moment: 0.0 μB per cell

***

| no. | volume (Å³ per cell) |
| --- | --- |
| 1 | 231.94 |
| 2 | 165.10 |
| 3 | 82.04 |